--- i ---
Tm4TlRh: relaxed, PBE-GGA.

Computed properties:
Space group: C2/m (12)
Total magnetic moment, μB per formula unit: 0.00

Lattice parameters (Å, degrees): 4.8425 4.8425 7.2647 90.05 90.05 90.00
Closest atoms and distances in Å follow each position.
Atoms (fractional coordinates):
Tm 0.9998 0.4995 0.2247  2 Rh 2.92, 2 Tl 3.14, 1 Tm 3.26
Tm 0.0002 0.5005 0.7753  2 Rh 2.92, 2 Tl 3.14, 1 Tm 3.26
Tm 0.4995 0.9998 0.2247  2 Rh 2.92, 2 Tl 3.14, 1 Tm 3.26
Tm 0.5005 0.0002 0.7753  2 Rh 2.92, 2 Tl 3.14, 1 Tm 3.26
Tl 0.0000 0.0000 0.5000  8 Tm 3.14
Rh 0.5000 0.5000 0.0000  8 Tm 2.92

---

--- ii ---
Tm4TlRh: relaxed, PBE-GGA.

Computed properties:
Space group: F-43m (216)
Total magnetic moment, μB per formula unit: 0.00

Lattice parameters (Å, degrees): 9.5401 9.5401 9.5401 60.00 60.00 60.00
Closest atoms and distances in Å follow each position.
Atoms (fractional coordinates):
Tm 0.0499 0.6500 0.6500  3 Rh 2.80
Tm 0.0609 0.0609 0.4391  2 Tl 3.14, 2 Tm 3.43, 2 Rh 3.43
Tm 0.0609 0.4391 0.0609  2 Tl 3.14, 2 Tm 3.43, 2 Rh 3.43
Tm 0.0609 0.4391 0.4391  2 Tl 3.14, 2 Tm 3.43, 2 Rh 3.43
Tm 0.1888 0.1888 0.8112  2 Rh 2.79
Tm 0.1888 0.8112 0.1888  2 Rh 2.79
Tm 0.1888 0.8112 0.8112  2 Rh 2.79
Tm 0.4391 0.0609 0.0609  2 Tl 3.14, 2 Tm 3.43, 2 Rh 3.43
Tm 0.4391 0.0609 0.4391  2 Tl 3.14, 2 Tm 3.43, 2 Rh 3.43
Tm 0.4391 0.4391 0.0609  2 Tl 3.14, 2 Tm 3.43, 2 Rh 3.43
Tm 0.6500 0.0499 0.6500  3 Rh 2.80
Tm 0.6500 0.6500 0.0499  3 Rh 2.80
Tm 0.6500 0.6500 0.6500  3 Rh 2.80
Tm 0.8112 0.1888 0.1888  2 Rh 2.79
Tm 0.8112 0.1888 0.8112  2 Rh 2.79
Tm 0.8112 0.8112 0.1888  2 Rh 2.79
Tl 0.4137 0.4137 0.4137  9 Tm 3.14-3.45, 3 Tl 3.29
Tl 0.4137 0.4137 0.7589  9 Tm 3.14-3.45, 3 Tl 3.29
Tl 0.4137 0.7589 0.4137  9 Tm 3.14-3.45, 3 Tl 3.29
Tl 0.7589 0.4137 0.4137  9 Tm 3.14-3.45, 3 Tl 3.29
Rh 0.4278 0.8574 0.8574  6 Tm 2.79-2.80
Rh 0.8574 0.4278 0.8574  6 Tm 2.79-2.80
Rh 0.8574 0.8574 0.4278  6 Tm 2.79-2.80
Rh 0.8574 0.8574 0.8574  6 Tm 2.79-2.80

---

Going by the energies, ii is most stable and the next is 19.1 kJ/mol of atoms up.

---

--- i ---
Tm2TlRh: relaxed, PBE-GGA.

Computed properties:
Space group: R3m (160)
Total magnetic moment, μB per formula unit: 0.00

Lattice parameters (Å, degrees): 8.4257 8.4257 8.4257 26.41 26.41 26.41
Closest atoms and distances in Å follow each position.
Atoms (fractional coordinates):
Tm 0.0000 0.0000 0.0000  3 Rh 2.72
Tm 0.2038 0.2038 0.2038  3 Rh 2.74
Tl 0.7690 0.7690 0.7690  6 Tm 3.33-3.34
Rh 0.6026 0.6026 0.6026  6 Tm 2.72-2.74

---

--- ii ---
Tm2TlRh: relaxed, PBE-GGA.

Computed properties:
Space group: P4/mmm (123)
Total magnetic moment, μB per formula unit: 0.00

Lattice parameters (Å, degrees): 3.4938 3.4938 7.5010 90.00 90.00 90.00
Closest atoms and distances in Å follow each position.
Atoms (fractional coordinates):
Tm 0.0000 0.0000 0.2150  4 Rh 2.95, 1 Tm 3.23, 4 Tl 3.27
Tm 0.0000 0.0000 0.7850  4 Rh 2.95, 1 Tm 3.23, 4 Tl 3.27
Tl 0.5000 0.5000 0.5000  8 Tm 3.27, 4 Tl 3.49
Rh 0.5000 0.5000 0.0000  8 Tm 2.95

---

--- iii ---
Tm2TlRh: relaxed, PBE-GGA.

Computed properties:
Space group: Fm-3m (225)
Total magnetic moment, μB per formula unit: 0.00

Lattice parameters (Å, degrees): 5.0457 5.0457 5.0457 60.00 60.00 60.00
Closest atoms and distances in Å follow each position.
Atoms (fractional coordinates):
Tm 0.2500 0.2500 0.2500  4 Rh 3.09, 4 Tl 3.09
Tm 0.7500 0.7500 0.7500  4 Rh 3.09, 4 Tl 3.09
Tl 0.0000 0.0000 0.0000  8 Tm 3.09
Rh 0.5000 0.5000 0.5000  8 Tm 3.09

---

--- iv ---
Tm2TlRh: relaxed, PBE-GGA.

Computed properties:
Space group: R-3m (166)
Total magnetic moment, μB per formula unit: 0.00

Lattice parameters (Å, degrees): 8.6078 8.6078 8.6078 25.29 25.29 25.29
Closest atoms and distances in Å follow each position.
Atoms (fractional coordinates):
Tm 0.2327 0.2327 0.2327  3 Rh 2.73
Tm 0.7673 0.7673 0.7673  3 Rh 2.73
Tl 0.0000 0.0000 0.0000  6 Tm 3.32
Rh 0.5000 0.5000 0.5000  6 Tm 2.73

---

Going by the energies, ii is most stable and the next is 10.9 kJ/mol of atoms up.

---

--- i ---
Tm5Tl4Rh: relaxed, PBE-GGA.

Computed properties:
Space group: P4/mmm (123)
Total magnetic moment, μB per formula unit: 0.33

Lattice parameters (Å, degrees): 3.4779 3.4779 20.6086 90.00 90.00 90.00
Closest atoms and distances in Å follow each position.
Atoms (fractional coordinates):
Tm 0.0000 0.0000 0.0000  8 Tl 3.26, 4 Tm 3.48
Tm 0.0000 0.0000 0.2084  8 Tl 3.25-3.27, 4 Tm 3.48
Tm 0.0000 0.0000 0.4204  4 Rh 2.96, 1 Tm 3.28
Tm 0.0000 0.0000 0.5796  4 Rh 2.96, 1 Tm 3.28
Tm 0.0000 0.0000 0.7916  8 Tl 3.25-3.27, 4 Tm 3.48
Tl 0.5000 0.5000 0.1039  8 Tm 3.26-3.27, 4 Tl 3.48
Tl 0.5000 0.5000 0.3118  8 Tm 3.25-3.32, 4 Tl 3.48
Tl 0.5000 0.5000 0.6882  8 Tm 3.25-3.32, 4 Tl 3.48
Tl 0.5000 0.5000 0.8961  8 Tm 3.26-3.27, 4 Tl 3.48
Rh 0.5000 0.5000 0.5000  8 Tm 2.96

---

--- ii ---
Tm5Tl4Rh: relaxed, PBE-GGA.

Computed properties:
Space group: I4/m (87)
Total magnetic moment, μB per formula unit: 0.00

Lattice parameters (Å, degrees): 7.5674 7.5674 7.5674 98.01 98.01 136.15
Closest atoms and distances in Å follow each position.
Atoms (fractional coordinates):
Tm 0.0000 0.0000 0.0000  2 Rh 2.83
Tm 0.2747 0.3631 0.6378  1 Rh 2.62
Tm 0.3631 0.7253 0.0884  1 Rh 2.62
Tm 0.6369 0.2747 0.9116  1 Rh 2.62
Tm 0.7253 0.6369 0.3622  1 Rh 2.62
Tl 0.0435 0.6592 0.7027  5 Tm 3.17-3.41, 1 Tl 3.28
Tl 0.3408 0.0435 0.3844  5 Tm 3.17-3.41, 1 Tl 3.28
Tl 0.6592 0.9565 0.6156  5 Tm 3.17-3.41, 1 Tl 3.28
Tl 0.9565 0.3408 0.2973  5 Tm 3.17-3.41, 1 Tl 3.28
Rh 0.5000 0.5000 0.0000  6 Tm 2.62-2.83

---

Going by the energies, i is most stable and the next is 16.6 kJ/mol of atoms up.

---

--- i ---
YTmTlRh: relaxed, PBE-GGA.

Computed properties:
Space group: F-43m (216)
Total magnetic moment, μB per formula unit: 0.00

Lattice parameters (Å, degrees): 5.0863 5.0863 5.0863 60.00 60.00 60.00
Closest atoms and distances in Å follow each position.
Atoms (fractional coordinates):
Y 0.0000 0.0000 0.0000  4 Rh 3.11, 4 Tl 3.11
Tm 0.5000 0.5000 0.5000  4 Rh 3.11, 4 Tl 3.11
Tl 0.2500 0.2500 0.2500  4 Tm 3.11, 4 Y 3.11
Rh 0.7500 0.7500 0.7500  4 Tm 3.11, 4 Y 3.11

---

--- ii ---
YTmTlRh: relaxed, PBE-GGA.

Computed properties:
Space group: P4mm (99)
Total magnetic moment, μB per formula unit: 0.00

Lattice parameters (Å, degrees): 3.5184 3.5184 7.5656 90.00 90.00 90.00
Closest atoms and distances in Å follow each position.
Atoms (fractional coordinates):
Y 0.0000 0.0000 0.0000  4 Rh 3.02, 1 Tm 3.26, 4 Tl 3.31
Tm 0.0000 0.0000 0.5689  4 Rh 2.93, 1 Y 3.26, 4 Tl 3.27
Tl 0.5000 0.5000 0.2884  4 Tm 3.27, 4 Y 3.31, 4 Tl 3.52
Rh 0.5000 0.5000 0.7734  4 Tm 2.93, 4 Y 3.02

---

Going by the energies, ii is most stable and the next is 11.6 kJ/mol of atoms up.